First-principles (meta-GGA SCAN) data for a PBEsol-optimized structure of LiMg2Tc, as listed in Alexandria.

Unit cell a=3.2918 b=4.3392 c=9.4060 alpha=90.00 beta=90.00 gamma=90.00
Sites, in units of the cell vectors:
Li 0.0000 0.0000 0.0000
Li 0.5000 0.5000 0.0000
Mg 0.0000 0.0000 0.4547
Mg 0.0000 0.5000 0.7354
Mg 0.5000 0.0000 0.7354
Mg 0.5000 0.5000 0.4547
Tc 0.0000 0.5000 0.2249
Tc 0.5000 0.0000 0.2249

Results
Relative energy among the computed polymorphs (meV per atom): 10
Total magnetization (μB/f.u.): 0.084
Calculated formation energy (meV/atom): 217
Electronic total energy (eV/atom): -11.632

=====

First-principles (meta-GGA SCAN) data for a PBEsol-optimized structure of IrPtSe2, as listed in Alexandria.

Unit cell a=2.7484 b=3.5089 c=7.2572 alpha=90.00 beta=90.00 gamma=90.00
Sites, in units of the cell vectors:
Ir 0.0000 0.0000 0.0000
Pt 0.0000 0.0000 0.5000
Se 0.0000 0.5000 0.2409
Se 0.0000 0.5000 0.7591

Results
Formation energy without anion corrections (meV per atom): 249
Total magnetization (μB/f.u.): 0.000
Electronic total energy (eV/atom): -45.113

=====

First-principles (meta-GGA SCAN) data for a PBEsol-optimized structure of SrYMg2Te, as listed in Alexandria.

Unit cell a=5.4916 b=5.4916 c=5.9698 alpha=90.00 beta=90.00 gamma=90.00
Sites, in units of the cell vectors:
Sr 0.0000 0.0000 0.0000
Y 0.5000 0.5000 0.0000
Mg 0.0000 0.5000 0.5000
Mg 0.5000 0.0000 0.5000
Te 0.0000 0.0000 0.5000

Results
Formation energy without anion corrections (meV per atom): 152
Total magnetization (μB/f.u.): 0.000
Electronic total energy (eV/atom): -19.311

=====

First-principles (meta-GGA SCAN) data for a PBEsol-optimized structure of TlCo3Ir, as listed in Alexandria.

Unit cell a=4.5247 b=4.5247 c=4.5247 alpha=90.00 beta=90.00 gamma=90.00
Sites, in units of the cell vectors:
Tl 0.0000 0.0000 0.0000
Co 0.0000 0.5000 0.5000
Co 0.5000 0.0000 0.5000
Co 0.5000 0.5000 0.0000
Ir 0.5000 0.5000 0.5000

Results
Total magnetization (μB/f.u.): 7.316
Calculated formation energy (meV/atom): 1110
Electronic total energy (eV/atom): -37.965

=====

First-principles (meta-GGA SCAN) data for a PBEsol-optimized structure of V4Cd3P6O24, as listed in Alexandria.

Unit cell a=6.4239 b=8.6365 c=8.8361 alpha=89.34 beta=72.60 gamma=73.41
Sites, in units of the cell vectors:
V 0.1230 0.4384 0.1079
V 0.3760 0.8881 0.5632
V 0.6240 0.1119 0.4368
V 0.8770 0.5616 0.8921
Cd 0.2471 0.7502 0.2485
Cd 0.5000 0.0000 0.0000
Cd 0.7529 0.2498 0.7515
P 0.1306 0.1468 0.3535
P 0.2519 0.2174 0.7760
P 0.3784 0.6523 0.8564
P 0.6216 0.3477 0.1436
P 0.7481 0.7826 0.2240
P 0.8694 0.8532 0.6465
O 0.0370 0.3478 0.7602
O 0.1029 0.8474 0.5251
O 0.1195 0.3120 0.2887
O 0.1843 0.5645 0.9108
O 0.2061 0.0151 0.2173
O 0.2350 0.0464 0.7525
O 0.2720 0.2410 0.9446
O 0.3103 0.0999 0.4484
O 0.3306 0.7905 0.9788
O 0.3868 0.7088 0.6903
O 0.3939 0.4807 0.1538
O 0.4693 0.2395 0.6505
O 0.5307 0.7605 0.3495
O 0.6061 0.5193 0.8462
O 0.6132 0.2912 0.3097
O 0.6694 0.2095 0.0212
O 0.6897 0.9001 0.5516
O 0.7280 0.7590 0.0554
O 0.7650 0.9536 0.2475
O 0.7939 0.9849 0.7827
O 0.8157 0.4355 0.0892
O 0.8805 0.6880 0.7113
O 0.8971 0.1526 0.4749
O 0.9630 0.6522 0.2398

Results
Formation energy without anion corrections (meV per atom): -2417
Total magnetization (μB/f.u.): 8.000
Electronic total energy (eV/atom): -12.502

=====

First-principles (meta-GGA SCAN) data for a PBEsol-optimized structure of Ni2WBr, as listed in Alexandria.

Unit cell a=6.0785 b=6.0785 c=6.0785 alpha=90.00 beta=90.00 gamma=90.00
Sites, in units of the cell vectors:
Ni 0.2500 0.2500 0.2500
Ni 0.2500 0.2500 0.7500
Ni 0.2500 0.7500 0.2500
Ni 0.2500 0.7500 0.7500
Ni 0.7500 0.2500 0.2500
Ni 0.7500 0.2500 0.7500
Ni 0.7500 0.7500 0.2500
Ni 0.7500 0.7500 0.7500
W 0.0000 0.0000 0.0000
W 0.0000 0.5000 0.5000
W 0.5000 0.0000 0.5000
W 0.5000 0.5000 0.0000
Br 0.0000 0.0000 0.5000
Br 0.0000 0.5000 0.0000
Br 0.5000 0.0000 0.0000
Br 0.5000 0.5000 0.5000

Results
Formation energy without anion corrections (meV per atom): 1271
Total magnetization (μB/f.u.): 0.000
Electronic total energy (eV/atom): -29.103

=====

First-principles (meta-GGA SCAN) data for a PBEsol-optimized structure of TiSiOsPd2, as listed in Alexandria.

Unit cell a=4.7884 b=4.7884 c=4.3971 alpha=90.00 beta=90.00 gamma=90.00
Sites, in units of the cell vectors:
Ti 0.0000 0.0000 0.0000
Si 0.5000 0.5000 0.0000
Os 0.5000 0.5000 0.5000
Pd 0.0000 0.5000 0.5000
Pd 0.5000 0.0000 0.5000

Results
Formation energy without anion corrections (meV per atom): 909
Total magnetization (μB/f.u.): 1.819
Electronic total energy (eV/atom): -31.786

=====

First-principles (meta-GGA SCAN) data for a PBEsol-optimized structure of Zn2Fe2Hg, as listed in Alexandria.

Unit cell a=3.3637 b=3.3637 c=13.4026 alpha=90.00 beta=90.00 gamma=90.00
Sites, in units of the cell vectors:
Zn 0.0000 0.0000 0.1090
Zn 0.0000 0.0000 0.8910
Zn 0.5000 0.5000 0.3910
Zn 0.5000 0.5000 0.6090
Fe 0.0000 0.5000 0.2500
Fe 0.0000 0.5000 0.7500
Fe 0.5000 0.0000 0.2500
Fe 0.5000 0.0000 0.7500
Hg 0.0000 0.0000 0.5000
Hg 0.5000 0.5000 0.0000

Results
Total magnetization (μB/f.u.): 5.434
Calculated formation energy (meV/atom): 328
Electronic total energy (eV/atom): -25.963